(1)
# NbCd2SiAs4 (PBE, relaxed)
data_NbCd2SiAs4
_symmetry_space_group_name_H-M 'I -4'
_symmetry_Int_Tables_number 82
_cell_length_a 5.9874
_cell_length_b 5.9874
_cell_length_c 11.6355
_cell_angle_alpha 90.00
_cell_angle_beta 90.00
_cell_angle_gamma 90.00
loop_
_symmetry_equiv_pos_as_xyz
'x,y,z'
'y,-x,-z'
'-x,-y,z'
'-y,x,-z'
'x+1/2,y+1/2,z+1/2'
'y+1/2,-x+1/2,-z+1/2'
'-x+1/2,-y+1/2,z+1/2'
'-y+1/2,x+1/2,-z+1/2'
loop_
_atom_site_label
_atom_site_type_symbol
_atom_site_fract_x
_atom_site_fract_y
_atom_site_fract_z
_atom_site_occupancy
Nb1 Nb 0.0000 0.0000 0.0000 1
Cd1 Cd 0.0000 0.0000 0.5000 1
Cd2 Cd 0.0000 0.5000 0.2500 1
Si1 Si 0.0000 0.5000 0.7500 1
As1 As 0.2144 0.7397 0.8715 1
# **Calculated total energy**: -72.3 eV/cell

=====

(2)
# LuMgCuSeS2 (PBE, relaxed)
data_LuMgCuSeS2
_symmetry_space_group_name_H-M 'C m c m'
_symmetry_Int_Tables_number 63
_symmetry_space_group_name_Hall '-C 2c 2'
_cell_length_a 3.6969
_cell_length_b 12.4180
_cell_length_c 10.3302
_cell_angle_alpha 90.00
_cell_angle_beta 90.00
_cell_angle_gamma 90.00
loop_
_atom_site_label
_atom_site_type_symbol
_atom_site_fract_x
_atom_site_fract_y
_atom_site_fract_z
_atom_site_occupancy
Lu1 Lu 0.0000 0.0000 0.0000 1
Mg1 Mg 0.0000 0.2193 0.2500 1
Cu1 Cu 0.0000 0.4780 0.7500 1
Se1 Se 0.0000 0.1098 0.7500 1
S1 S 0.0000 0.3601 0.5794 1
# **Calculated total energy**: -115.8 eV/cell

=====

(3)
# CdCoGeTe3 (PBE, relaxed)
data_CdCoGeTe3
_symmetry_space_group_name_H-M 'C m c m'
_symmetry_Int_Tables_number 63
_symmetry_space_group_name_Hall '-C 2c 2'
_cell_length_a 3.8729
_cell_length_b 15.3694
_cell_length_c 10.4913
_cell_angle_alpha 90.00
_cell_angle_beta 90.00
_cell_angle_gamma 90.00
loop_
_atom_site_label
_atom_site_type_symbol
_atom_site_fract_x
_atom_site_fract_y
_atom_site_fract_z
_atom_site_occupancy
Cd1 Cd 0.0000 0.2059 0.2500 1
Co1 Co 0.0000 0.5000 0.0000 1
Ge1 Ge 0.0000 0.1617 0.7500 1
Te1 Te 0.0000 0.1087 0.0164 1
Te2 Te 0.0000 0.4696 0.2500 1
# **Calculated total energy**: -89.7 eV/cell
# **E above lowest polymorph**: 0.00 kcal/mol of atoms

=====

(4)
# HfMgZnCo (PBE, relaxed)
data_HfMgZnCo
_symmetry_space_group_name_H-M 'F -4 3 m'
_symmetry_Int_Tables_number 216
_symmetry_space_group_name_Hall 'F -4 2 3'
_cell_length_a 6.3016
_cell_length_b 6.3016
_cell_length_c 6.3016
_cell_angle_alpha 90.00
_cell_angle_beta 90.00
_cell_angle_gamma 90.00
loop_
_atom_site_label
_atom_site_type_symbol
_atom_site_fract_x
_atom_site_fract_y
_atom_site_fract_z
_atom_site_occupancy
Hf1 Hf 0.0000 0.0000 0.0000 1
Mg1 Mg 0.2500 0.2500 0.2500 1
Zn1 Zn 0.0000 0.0000 0.5000 1
Co1 Co 0.2500 0.2500 0.7500 1
# **Calculated total energy**: -79.2 eV/cell
# **E above lowest polymorph**: 0.00 kcal/mol of atoms